(1)
Th2Pd3Au | the Alexandria database | GGA-PBE | optimized geometry; space group = Pnma, No. 62; ΔH_f (0 K) = -0.814 eV per atom; energy relative to the lowest polymorph listed for this composition = 0 meV/atom
1.0
7.492 0.000 0.000
0.000 3.889 0.000
0.000 0.000 17.862
Th Pd Au
8 12 4
Direct
0.108 0.250 0.204
0.167 0.250 0.430
0.333 0.750 0.930
0.392 0.750 0.704
0.608 0.250 0.296
0.667 0.250 0.070
0.833 0.750 0.570
0.892 0.750 0.796
0.079 0.250 0.658
0.206 0.250 0.807
0.216 0.750 0.551
0.284 0.250 0.051
0.294 0.750 0.307
0.421 0.750 0.158
0.579 0.250 0.842
0.706 0.250 0.693
0.716 0.750 0.949
0.784 0.250 0.449
0.794 0.750 0.193
0.921 0.750 0.342
0.013 0.750 0.065
0.487 0.250 0.565
0.513 0.750 0.435
0.987 0.250 0.935

=====

(2)
ThPd7Au2 | the Alexandria database | GGA-PBE | optimized geometry; space group = Cmmm, No. 65; ΔH_f (0 K) = -0.025 eV per atom
1.0
3.655 -6.706 0.000
3.655 6.706 0.000
0.000 0.000 4.554
Th Pd Au
1 7 2
Direct
0.000 0.000 0.000
0.075 0.290 0.500
0.195 0.805 0.000
0.290 0.075 0.500
0.500 0.500 0.500
0.710 0.925 0.500
0.805 0.195 0.000
0.925 0.710 0.500
0.298 0.702 0.500
0.702 0.298 0.500